VASP calculation (GGA+U) on a relaxed structure of BeCoI2O.

Results
DFT total energy   -15.32 eV per cell
SG   No. 123
D(E_F)   2.9 states/eV/cell
Magnetization   3.442 μB/cell
Energy above the lowest structure with this stoichiometry   295 kJ/mol of formula units

Unit cell a=5.517 b=5.517 c=3.601 alpha=90.00 beta=90.00 gamma=90.00
Fractional coordinates of all 5 atoms:
Be  0.000  0.000  0.000
Co  0.500  0.500  0.500
I  0.000  0.500  0.500
I  0.500  0.000  0.500
O  0.500  0.500  0.000

VASP calculation (GGA+U) on a relaxed structure of BeCoIO2.

Results
DFT total energy   -21.13 eV per cell
SG   No. 123
D(E_F)   3.1 states/eV/cell
Magnetization   3.441 μB/cell
Energy above the lowest structure with this stoichiometry   0 kJ/mol of formula units

Unit cell a=3.549 b=3.549 c=6.273 alpha=90.00 beta=90.00 gamma=90.00
Fractional coordinates of all 5 atoms:
Be  0.000  0.000  0.000
Co  0.500  0.500  0.500
I  0.000  0.000  0.500
O  0.000  0.500  0.000
O  0.500  0.000  0.000

VASP calculation (GGA+U) on a relaxed structure of BeCoIO2.

Results
DFT total energy   -20.20 eV per cell
SG   No. 123
D(E_F)   1.0 states/eV/cell
Magnetization   3.984 μB/cell
Energy above the lowest structure with this stoichiometry   89 kJ/mol of formula units

Unit cell a=3.666 b=3.666 c=6.844 alpha=90.00 beta=90.00 gamma=90.00
Fractional coordinates of all 5 atoms:
Be  0.000  0.000  0.000
Co  0.500  0.500  0.500
I  0.500  0.500  0.000
O  0.000  0.500  0.500
O  0.500  0.000  0.500